A relaxed CsNbMoO6 crystal, computed with GGA+U.

Calculated values
Theoretical density, kg/m3: 4121
Space group: P3 (143)
Fermi-level density of states, states/eV/cell: 0.0
Uncorrected energy, eV for the cell shown: -66.42
Total magnetization, μB/cell: 0.0

Cell lengths 5.3937, 5.3938, 6.6810 Å; angles 90.00, 90.00, 60.00 degrees
Last column: nearest neighbours and their distance in Å.
Fractional coordinates of all 9 atoms:
Cs 0.0000 0.0000 0.0039  6 O 3.09-3.13
Nb 0.6666 0.6667 0.4588  3 O 1.91
Mo 0.3333 0.3333 0.5362  3 O 1.85
O 0.0145 0.4004 0.3296  1 Nb 1.91, 1 Mo 2.09
O 0.4047 0.0047 0.6707  1 Mo 1.85
O 0.5906 0.4047 0.6707  1 Mo 1.85
O 0.0047 0.5906 0.6707  1 Mo 1.85
O 0.4004 0.5851 0.3296  1 Nb 1.91, 1 Mo 2.09
O 0.5851 0.0145 0.3296  1 Nb 1.91, 1 Mo 2.09